Compound: K3Mg2CrF9
Source: the Alexandria database
Functional: PBE with a Hubbard U
Structure: optimized geometry Values from VASP.

Quantum ESPRESSO input file:
```
&SYSTEM
  ibrav = 0, nat = 15, ntyp = 4
/
ATOMIC_SPECIES
F 19.00 F.upf
Cr 52.00 Cr.upf
K 39.10 K.upf
Mg 24.30 Mg.upf
ATOMIC_POSITIONS crystal
F 0.5000 0.0000 0.0000
F 0.0000 0.5000 0.0000
F 0.1713 0.8287 0.3263
F 0.5000 0.5000 0.0000
F 0.8287 0.6574 0.6737
F 0.8287 0.1713 0.6737
F 0.1713 0.3426 0.3263
F 0.6574 0.8287 0.3263
F 0.3426 0.1713 0.6737
Cr 0.0000 0.0000 0.5000
K 0.3333 0.6667 0.6645
K 0.0000 0.0000 0.0000
K 0.6667 0.3333 0.3355
Mg 0.6667 0.3333 0.8404
Mg 0.3333 0.6667 0.1596
CELL_PARAMETERS angstrom
5.8093 0.0000 0.0000
-2.9046 5.0310 0.0000
0.0000 0.0000 7.1265
```

Summary:
electronic total energy = -5.1027 eV/atom
magnetic moment = 4.0 μB per formula unit
crystal system = trigonal